Compound: Er2AlCu2Rh5
Source: Alexandria
Functional: PBE
Structure: optimized geometry

For the energy of formation from the pure elements, the calculation gives -0.563 eV/atom. The calculation puts the total energy at -63.44 eV/f.u. The total magnetization is 0.000 μB/f.u.

The structure belongs to space group P4/mbm (No. 127); the cell edges are 9.309, 9.309 and 3.721 Å and the angles 90.00°, 90.00° and 90.00°. Symmetry generates all atoms from Er at (0.173, 0.327, 0.000), Al at (0.000, 0.000, 0.000), Cu at (0.125, 0.625, 0.000), Rh at (0.000, 0.500, 0.500) and Rh at (0.068, 0.801, 0.500).

Compound: Dy4Te5Au
Source: Alexandria
Functional: PBE
Structure: optimized geometry

As for the uncorrected formation energy: -1.072 eV per atom. The calculation puts the total energy at -48.11 eV/f.u. The total magnetization is 0.023 μB/f.u.

The structure belongs to space group Pmmn (No. 59, origin choice 2); the cell edges are 9.283, 9.997 and 7.630 Å and the angles 90.00°, 90.00° and 90.00°. Symmetry generates all atoms from Dy at (0.002, 0.250, 0.068), Dy at (0.250, 0.021, 0.526), Te at (0.023, 0.549, 0.240), Te at (0.250, 0.750, 0.690) and Au at (0.250, 0.250, 0.296).

Compound: TlRe2Se
Source: Alexandria
Functional: PBE
Structure: optimized geometry

The excess energy over the best structure of this formula in the dataset is 152.9 meV/atom. As for the uncorrected formation energy: 0.534 eV per atom. The calculation puts the total energy at -28.61 eV/f.u. The total magnetization is 0.000 μB/f.u.

The structure belongs to space group Pm (No. 6); the cell edges are 2.960, 3.670 and 7.861 Å and the angles 90.00°, 98.46° and 90.00°. Symmetry generates all atoms from Tl at (0.000, 0.000, 0.000), Re at (0.383, 0.500, 0.726), Re at (0.859, 0.000, 0.579) and Se at (0.237, 0.500, 0.392).

Compound: ThPa2
Source: Alexandria
Functional: PBE
Structure: optimized geometry

For the energy of formation from the pure elements, the calculation gives 0.098 eV/atom. The excess energy over the best structure of this formula in the dataset is 29.6 meV/atom. The calculation puts the total energy at -26.12 eV/f.u. The total magnetization is 0.000 μB/f.u.

The structure belongs to space group Fd-3m (No. 227, origin choice 2); the cell edges are 8.677, 8.677 and 8.677 Å and the angles 90.00°, 90.00° and 90.00°. Symmetry generates all atoms from Th at (0.125, 0.125, 0.125) and Pa at (0.000, 0.000, 0.500).